CaTl2Hg2: relaxed, GGA-PBE.

The value obtained for the polymorph energy (0 for the lowest one) is 0.78 eV/f.u. The value obtained for the calculated formation energy is -65 meV/atom. Its space group is Ibam.

Lattice parameters (Å, degrees): 7.912 7.912 7.912 120.19 82.32 129.11
Positions (direct):
Ca  0.250  0.250  0.000
Ca  0.750  0.750  0.000
Tl  0.149  0.672  0.822
Tl  0.351  0.172  0.523
Tl  0.649  0.828  0.477
Tl  0.851  0.328  0.178
Hg  0.114  0.296  0.410
Hg  0.386  0.796  0.183
Hg  0.614  0.204  0.817
Hg  0.886  0.704  0.590

***

GdCdInCu: relaxed, GGA-PBE.

The value obtained for the calculated formation energy is -242 meV/atom. Its space group is F-43m.

Lattice parameters (Å, degrees): 7.006 7.006 7.006 90.00 90.00 90.00
Positions (direct):
Gd  0.000  0.000  0.000
Gd  0.000  0.500  0.500
Gd  0.500  0.000  0.500
Gd  0.500  0.500  0.000
Cd  0.250  0.250  0.750
Cd  0.250  0.750  0.250
Cd  0.750  0.250  0.250
Cd  0.750  0.750  0.750
In  0.000  0.000  0.500
In  0.000  0.500  0.000
In  0.500  0.000  0.000
In  0.500  0.500  0.500
Cu  0.250  0.250  0.250
Cu  0.250  0.750  0.750
Cu  0.750  0.250  0.750
Cu  0.750  0.750  0.250

***

ZrSbRh3: relaxed, GGA-PBE.

The value obtained for the energy relative to the elements, uncorrected is 0.707 eV/atom. The value obtained for the polymorph energy (0 for the lowest one) is 0.82 eV/f.u. Its space group is Pm-3m.

Lattice parameters (Å, degrees): 4.817 4.817 4.817 90.00 90.00 90.00
Positions (direct):
Zr  0.000  0.000  0.000
Sb  0.500  0.500  0.500
Rh  0.000  0.000  0.500
Rh  0.000  0.500  0.000
Rh  0.500  0.000  0.000

***

TbPaAsO2: relaxed, GGA-PBE.

The value obtained for the energy relative to the elements, uncorrected is -2.676 eV/atom. Its space group is I4mm.

Lattice parameters (Å, degrees): 3.809 3.809 12.144 90.00 90.00 90.00
Positions (direct):
Tb  0.000  0.000  0.000
Tb  0.500  0.500  0.500
Pa  0.000  0.000  0.710
Pa  0.500  0.500  0.210
As  0.000  0.000  0.353
As  0.500  0.500  0.853
O  0.000  0.500  0.109
O  0.000  0.500  0.609
O  0.500  0.000  0.109
O  0.500  0.000  0.609

***

K3Rb3ScBr8: relaxed, GGA-PBE.

The value obtained for the energy relative to the elements, uncorrected is -1.675 eV/atom. Its space group is C2/m.

Lattice parameters (Å, degrees): 9.473 9.473 9.620 119.44 119.44 60.13
Positions (direct):
K  0.000  0.000  0.000
K  0.000  0.500  0.000
K  0.500  0.000  0.000
Rb  0.000  0.500  0.500
Rb  0.500  0.000  0.500
Rb  0.500  0.500  0.500
Sc  0.500  0.500  0.000
Br  0.246  0.246  0.237
Br  0.283  0.710  0.203
Br  0.290  0.290  0.797
Br  0.290  0.717  0.797
Br  0.710  0.283  0.203
Br  0.710  0.710  0.203
Br  0.717  0.290  0.797
Br  0.754  0.754  0.763

***

K2ReAg: relaxed, GGA-PBE.

The value obtained for the polymorph energy (0 for the lowest one) is 0.00 eV/f.u. The value obtained for the calculated formation energy is 983 meV/atom. Its space group is Pm.

Lattice parameters (Å, degrees): 2.789 4.531 9.948 90.00 93.26 90.00
Positions (direct):
K  0.000  0.000  0.000
K  0.455  0.500  0.422
Re  0.987  0.000  0.673
Ag  0.499  0.500  0.752

***

NdDyHo2Sc: relaxed, GGA-PBE.

The value obtained for the calculated formation energy is 331 meV/atom. Its space group is Cmcm.

Lattice parameters (Å, degrees): 6.956 6.956 7.082 90.00 90.00 107.90
Positions (direct):
Nd  0.230  0.770  0.750
Nd  0.770  0.230  0.250
Dy  0.234  0.766  0.250
Dy  0.766  0.234  0.750
Ho  0.197  0.197  0.000
Ho  0.197  0.197  0.500
Ho  0.803  0.803  0.000
Ho  0.803  0.803  0.500
Sc  0.495  0.505  0.750
Sc  0.505  0.495  0.250

***

NiOsC: relaxed, GGA-PBE.

The value obtained for the polymorph energy (0 for the lowest one) is 0.24 eV/f.u. The value obtained for the calculated formation energy is 422 meV/atom. Its space group is C2/m.

Lattice parameters (Å, degrees): 12.413 2.680 4.459 90.00 101.56 90.00
Positions (direct):
Ni  0.161  0.000  0.377
Ni  0.339  0.500  0.623
Ni  0.661  0.500  0.377
Ni  0.839  0.000  0.623
Os  0.159  0.500  0.862
Os  0.341  0.000  0.138
Os  0.659  0.000  0.862
Os  0.841  0.500  0.138
C  0.054  0.000  0.975
C  0.446  0.500  0.025
C  0.554  0.500  0.975
C  0.946  0.000  0.025

***

Ba2B2Se5: relaxed, GGA-PBE.

The value obtained for the energy relative to the elements, uncorrected is -0.655 eV/atom. Its space group is C2/m.

Lattice parameters (Å, degrees): 6.581 6.581 7.529 98.48 98.48 45.57
Positions (direct):
Ba  0.090  0.090  0.285
Ba  0.910  0.910  0.715
B  0.333  0.333  0.113
B  0.667  0.667  0.887
Se  0.201  0.201  0.913
Se  0.366  0.366  0.382
Se  0.500  0.500  0.000
Se  0.634  0.634  0.618
Se  0.799  0.799  0.087

***

CaSbAu: relaxed, GGA-PBE.

The value obtained for the energy relative to the elements, uncorrected is -0.505 eV/atom. Its space group is I4mm.

Lattice parameters (Å, degrees): 3.635 3.635 11.404 90.00 90.00 90.00
Positions (direct):
Ca  0.000  0.000  0.000
Ca  0.500  0.500  0.500
Sb  0.000  0.000  0.699
Sb  0.500  0.500  0.199
Au  0.000  0.000  0.352
Au  0.500  0.500  0.852

***

GdErCrRu: relaxed, GGA-PBE.

The value obtained for the calculated formation energy is -21 meV/atom. Its space group is F-43m.

Lattice parameters (Å, degrees): 6.934 6.934 6.934 90.00 90.00 90.00
Positions (direct):
Gd  0.000  0.000  0.000
Gd  0.000  0.500  0.500
Gd  0.500  0.000  0.500
Gd  0.500  0.500  0.000
Er  0.000  0.000  0.500
Er  0.000  0.500  0.000
Er  0.500  0.000  0.000
Er  0.500  0.500  0.500
Cr  0.250  0.250  0.250
Cr  0.250  0.750  0.750
Cr  0.750  0.250  0.750
Cr  0.750  0.750  0.250
Ru  0.250  0.250  0.750
Ru  0.250  0.750  0.250
Ru  0.750  0.250  0.250
Ru  0.750  0.750  0.750

***

Nd6TlCo: relaxed, GGA-PBE.

The value obtained for the calculated formation energy is -10 meV/atom. Its space group is C2/m.

Lattice parameters (Å, degrees): 8.089 10.272 6.434 90.00 105.31 90.00
Positions (direct):
Nd  0.114  0.190  0.283
Nd  0.114  0.810  0.283
Nd  0.218  0.500  0.121
Nd  0.282  0.000  0.879
Nd  0.386  0.310  0.717
Nd  0.386  0.690  0.717
Nd  0.614  0.310  0.283
Nd  0.614  0.690  0.283
Nd  0.718  0.000  0.121
Nd  0.782  0.500  0.879
Nd  0.886  0.190  0.717
Nd  0.886  0.810  0.717
Tl  0.000  0.500  0.500
Tl  0.500  0.000  0.500
Co  0.000  0.000  0.000
Co  0.500  0.500  0.000

***

What is the formula in the twelfth record? Nd6TlCo

***

Repeat the fifth record exactly.
K3Rb3ScBr8: relaxed, GGA-PBE.

The value obtained for the energy relative to the elements, uncorrected is -1.675 eV/atom. Its space group is C2/m.

Lattice parameters (Å, degrees): 9.473 9.473 9.620 119.44 119.44 60.13
Positions (direct):
K  0.000  0.000  0.000
K  0.000  0.500  0.000
K  0.500  0.000  0.000
Rb  0.000  0.500  0.500
Rb  0.500  0.000  0.500
Rb  0.500  0.500  0.500
Sc  0.500  0.500  0.000
Br  0.246  0.246  0.237
Br  0.283  0.710  0.203
Br  0.290  0.290  0.797
Br  0.290  0.717  0.797
Br  0.710  0.283  0.203
Br  0.710  0.710  0.203
Br  0.717  0.290  0.797
Br  0.754  0.754  0.763